A plane-wave DFT calculation with PBE-GGA was carried out for a relaxed structure of TbErTcAg.

Cell lengths 7.012, 7.012, 7.012 Å; angles 90.00, 90.00, 90.00 degrees
Space group F-43m (No. 216)
One atom of each set of equivalent atoms:
Tb (0.000, 0.000, 0.000) x4
Er (0.000, 0.000, 0.500) x4
Tc (0.250, 0.250, 0.750) x4
Ag (0.250, 0.250, 0.250) x4

Summary:
- calculated volume (Å³ per atom) = 21.54
- total magnetization (μB per formula unit) = 0.000
- E_tot (eV/f.u.) = -22.935
- DOS(E_F) (states/eV per atom) = 0.74

---

A plane-wave DFT calculation with PBE-GGA was carried out for a relaxed structure of NaGa8Ni4.

Cell lengths 8.557, 8.557, 5.213 Å; angles 90.00, 90.00, 90.00 degrees
Space group I4/mmm (No. 139)
One atom of each set of equivalent atoms:
Na (0.000, 0.000, 0.000) x2
Ga (0.000, 0.227, 0.500) x8
Ga (0.000, 0.337, 0.000) x8
Ni (0.250, 0.250, 0.250) x8

Summary:
- calculated volume (Å³ per atom) = 14.68
- total magnetization (μB per formula unit) = 0.000
- E_tot (eV/f.u.) = -52.412
- DOS(E_F) (states/eV per atom) = 0.36

---

A plane-wave DFT calculation with PBE-GGA was carried out for a relaxed structure of LiGePd.

Cell lengths 10.417, 3.074, 6.564 Å; angles 90.00, 112.74, 90.00 degrees
Space group C2/m (No. 12)
One atom of each set of equivalent atoms:
Li (0.163, 0.000, 0.126) x4
Ge (0.040, 0.500, 0.749) x4
Pd (0.145, 0.000, 0.530) x4

Summary:
- calculated volume (Å³ per atom) = 16.15
- total magnetization (μB per formula unit) = 0.000
- E_tot (eV/f.u.) = -12.985
- DOS(E_F) (states/eV per atom) = 0.33

---

A plane-wave DFT calculation with PBE-GGA was carried out for a relaxed structure of Na6Pb3Au.

Cell lengths 10.153, 5.223, 11.282 Å; angles 90.00, 109.19, 90.00 degrees
Space group P2_1/m (No. 11)
One atom of each set of equivalent atoms:
Na (0.013, 0.250, 0.392) x2
Na (0.132, 0.250, 0.082) x2
Na (0.221, 0.250, 0.674) x2
Na (0.367, 0.750, 0.221) x2
Na (0.373, 0.250, 0.454) x2
Na (0.409, 0.250, 0.965) x2
Pb (0.042, 0.750, 0.221) x2
Pb (0.198, 0.750, 0.892) x2
Pb (0.422, 0.750, 0.726) x2
Au (0.211, 0.750, 0.482) x2

Summary:
- calculated volume (Å³ per atom) = 28.25
- total magnetization (μB per formula unit) = 0.000
- E_tot (eV/f.u.) = -24.145
- DOS(E_F) (states/eV per atom) = 0.35

---

A plane-wave DFT calculation with PBE-GGA was carried out for a relaxed structure of Ti2SiAs.

Cell lengths 5.757, 5.757, 11.552 Å; angles 90.00, 90.00, 90.00 degrees
Space group I-42d (No. 122)
One atom of each set of equivalent atoms:
Ti (0.246, 0.250, 0.125) x8
Si (0.000, 0.000, 0.000) x4
As (0.000, 0.000, 0.500) x4

Summary:
- calculated volume (Å³ per atom) = 23.93
- total magnetization (μB per formula unit) = 0.000
- E_tot (eV/f.u.) = -25.346
- DOS(E_F) (states/eV per atom) = 1.02
- uncorrected formation energy (eV per formula unit) = 0.5
- polymorph energy (0 for the lowest one) (meV per atom) = 778

---

A plane-wave DFT calculation with PBE-GGA was carried out for a relaxed structure of TbPm5Sm2In.

Cell lengths 5.516, 20.225, 10.817 Å; angles 90.00, 90.00, 90.00 degrees
Space group Cmcm (No. 63)
One atom of each set of equivalent atoms:
Tb (0.000, 0.201, 0.250) x4
Pm (0.000, 0.014, 0.250) x4
Pm (0.000, 0.290, 0.550) x8
Pm (0.000, 0.381, 0.250) x4
Pm (0.000, 0.500, 0.000) x4
Sm (0.000, 0.116, 0.544) x8
In (0.000, 0.405, 0.750) x4

Summary:
- calculated volume (Å³ per atom) = 33.52
- total magnetization (μB per formula unit) = 0.000
- E_tot (eV/f.u.) = -40.664
- DOS(E_F) (states/eV per atom) = 1.46

---

A plane-wave DFT calculation with PBE-GGA was carried out for a relaxed structure of SmTcO4F.

Cell lengths 9.795, 7.346, 7.015 Å; angles 90.00, 105.77, 90.00 degrees
Space group C2/m (No. 12)
One atom of each set of equivalent atoms:
Sm (0.201, 0.000, 0.093) x4
Tc (0.147, 0.500, 0.292) x4
O (0.038, 0.500, 0.765) x4
O (0.206, 0.320, 0.152) x8
O (0.246, 0.500, 0.539) x4
F (0.011, 0.000, 0.824) x4

Summary:
- calculated volume (Å³ per atom) = 17.35
- total magnetization (μB per formula unit) = 1.006
- E_tot (eV/f.u.) = -53.502
- DOS(E_F) (states/eV per atom) = 0.39
- uncorrected formation energy (eV per formula unit) = -16.7

---

A plane-wave DFT calculation with PBE-GGA was carried out for a relaxed structure of ZnHIN2.

Cell lengths 3.865, 3.865, 6.473 Å; angles 90.00, 90.00, 90.00 degrees
Space group P4/mmm (No. 123)
One atom of each set of equivalent atoms:
Zn (0.000, 0.000, 0.000) x1
H (0.500, 0.500, 0.500) x1
I (0.000, 0.000, 0.500) x1
N (0.000, 0.500, 0.000) x2

Summary:
- calculated volume (Å³ per atom) = 19.34
- total magnetization (μB per formula unit) = 3.686
- E_tot (eV/f.u.) = -13.970
- DOS(E_F) (states/eV per atom) = 0.42
- polymorph energy (0 for the lowest one) (meV per atom) = 0

---

A plane-wave DFT calculation with PBE-GGA was carried out for a relaxed structure of Cs2RuWBr6.

Cell lengths 10.826, 10.826, 10.826 Å; angles 90.00, 90.00, 90.00 degrees
Space group Fm-3m (No. 225)
One atom of each set of equivalent atoms:
Cs (0.250, 0.250, 0.250) x8
Ru (0.000, 0.000, 0.000) x4
W (0.000, 0.000, 0.500) x4
Br (0.000, 0.000, 0.256) x24

Summary:
- calculated volume (Å³ per atom) = 31.72
- total magnetization (μB per formula unit) = 6.000
- E_tot (eV/f.u.) = -39.574
- DOS(E_F) (states/eV per atom) = 0.83
- uncorrected formation energy (eV per formula unit) = -5.6

---

A plane-wave DFT calculation with PBE-GGA was carried out for a relaxed structure of CaCr2Mo.

Cell lengths 2.956, 2.956, 7.900 Å; angles 90.00, 90.00, 90.00 degrees
Space group P4mm (No. 99)
One atom of each set of equivalent atoms:
Ca (0.000, 0.000, 0.000) x1
Cr (0.000, 0.000, 0.465) x1
Cr (0.500, 0.500, 0.311) x1
Mo (0.500, 0.500, 0.678) x1

Summary:
- calculated volume (Å³ per atom) = 17.26
- total magnetization (μB per formula unit) = 1.058
- E_tot (eV/f.u.) = -29.754
- DOS(E_F) (states/eV per atom) = 1.04
- polymorph energy (0 for the lowest one) (meV per atom) = 79

---

A plane-wave DFT calculation with PBE-GGA was carried out for a relaxed structure of Cu2Ni6Ge.

Cell lengths 8.898, 10.126, 4.726 Å; angles 90.00, 99.28, 90.00 degrees
Space group C2/c (No. 15)
One atom of each set of equivalent atoms:
Cu (0.128, 0.016, 0.387) x8
Ni (0.028, 0.203, 0.000) x8
Ni (0.145, 0.402, 0.773) x8
Ni (0.248, 0.316, 0.274) x8
Ge (0.000, 0.400, 0.250) x4

Summary:
- calculated volume (Å³ per atom) = 11.67
- total magnetization (μB per formula unit) = 0.006
- E_tot (eV/f.u.) = -47.261
- DOS(E_F) (states/eV per atom) = 1.10

---

A plane-wave DFT calculation with PBE-GGA was carried out for a relaxed structure of LiCdGa3.

Cell lengths 6.024, 4.346, 7.576 Å; angles 90.00, 106.46, 90.00 degrees
Space group P2_1/m (No. 11)
One atom of each set of equivalent atoms:
Li (0.173, 0.250, 0.290) x2
Cd (0.396, 0.750, 0.847) x2
Ga (0.061, 0.250, 0.609) x2
Ga (0.084, 0.750, 0.086) x2
Ga (0.480, 0.750, 0.379) x2

Summary:
- calculated volume (Å³ per atom) = 19.02
- total magnetization (μB per formula unit) = 0.000
- E_tot (eV/f.u.) = -12.376
- DOS(E_F) (states/eV per atom) = 0.34
- polymorph energy (0 for the lowest one) (meV per atom) = 10

---

A plane-wave DFT calculation with PBE-GGA was carried out for a relaxed structure of CeNdEuDy.

Cell lengths 8.217, 8.217, 8.217 Å; angles 90.00, 90.00, 90.00 degrees
Space group F-43m (No. 216)
One atom of each set of equivalent atoms:
Ce (0.000, 0.000, 0.000) x4
Nd (0.250, 0.250, 0.750) x4
Eu (0.000, 0.000, 0.500) x4
Dy (0.250, 0.250, 0.250) x4

Summary:
- calculated volume (Å³ per atom) = 34.67
- total magnetization (μB per formula unit) = 9.379
- E_tot (eV/f.u.) = -24.649
- DOS(E_F) (states/eV per atom) = 2.67

---

A plane-wave DFT calculation with PBE-GGA was carried out for a relaxed structure of LaTbAsS.

Cell lengths 4.1608, 4.1608, 20.3020 Å; angles 90.00, 90.00, 120.00 degrees
Space group R3m (No. 160, hexagonal axes)
One atom of each set of equivalent atoms:
La (0.0000, 0.0000, 0.0000) x3
Tb (0.0000, 0.0000, 0.4984) x3
As (0.0000, 0.0000, 0.2446) x3
S (0.0000, 0.0000, 0.7543) x3

Summary:
- calculated volume (Å³ per atom) = 25.36
- total magnetization (μB per formula unit) = 0.000
- E_tot (eV/f.u.) = -25.703
- DOS(E_F) (states/eV per atom) = 0.47
- uncorrected formation energy (eV per formula unit) = -7.4

---

A plane-wave DFT calculation with PBE-GGA was carried out for a relaxed structure of BPb.

Cell lengths 10.369, 10.369, 4.039 Å; angles 90.00, 90.00, 90.00 degrees
Space group P4/m (No. 83)
One atom of each set of equivalent atoms:
B (0.052, 0.442, 0.000) x4
B (0.161, 0.751, 0.500) x4
Pb (0.075, 0.308, 0.500) x4
Pb (0.196, 0.641, 0.000) x4

Summary:
- calculated volume (Å³ per atom) = 27.14
- total magnetization (μB per formula unit) = 0.000
- E_tot (eV/f.u.) = -8.248
- DOS(E_F) (states/eV per atom) = 0.40
- polymorph energy (0 for the lowest one) (meV per atom) = 258

---

A plane-wave DFT calculation with PBE-GGA was carried out for a relaxed structure of BeCo2HPd.

Cell lengths 3.459, 3.459, 4.001 Å; angles 90.00, 90.00, 90.00 degrees
Space group P4/mmm (No. 123)
One atom of each set of equivalent atoms:
Be (0.000, 0.000, 0.000) x1
Co (0.000, 0.500, 0.500) x2
H (0.000, 0.000, 0.500) x1
Pd (0.500, 0.500, 0.000) x1

Summary:
- calculated volume (Å³ per atom) = 9.57
- total magnetization (μB per formula unit) = 2.890
- E_tot (eV/f.u.) = -26.579
- DOS(E_F) (states/eV per atom) = 0.89

---

A plane-wave DFT calculation with PBE-GGA was carried out for a relaxed structure of SrCaCu2.

Cell lengths 4.334, 4.334, 10.773 Å; angles 90.00, 90.00, 90.00 degrees
Space group I-4m2 (No. 119)
One atom of each set of equivalent atoms:
Sr (0.000, 0.000, 0.000) x2
Ca (0.000, 0.500, 0.750) x2
Cu (0.000, 0.000, 0.500) x2
Cu (0.000, 0.500, 0.250) x2

Summary:
- calculated volume (Å³ per atom) = 25.30
- total magnetization (μB per formula unit) = 0.000
- E_tot (eV/f.u.) = -11.194
- DOS(E_F) (states/eV per atom) = 0.73
- polymorph energy (0 for the lowest one) (meV per atom) = 279

---

A plane-wave DFT calculation with PBE-GGA was carried out for a relaxed structure of Nd2Y7Er2.

Cell lengths 11.198, 11.684, 6.077 Å; angles 90.00, 113.18, 90.00 degrees
Space group C2/m (No. 12)
One atom of each set of equivalent atoms:
Nd (0.000, 0.211, 0.000) x4
Y (0.000, 0.000, 0.500) x2
Y (0.092, 0.500, 0.307) x4
Y (0.173, 0.238, 0.677) x8
Er (0.233, 0.000, 0.082) x4

Summary:
- calculated volume (Å³ per atom) = 33.23
- total magnetization (μB per formula unit) = 0.000
- E_tot (eV/f.u.) = -62.163
- DOS(E_F) (states/eV per atom) = 1.62
- polymorph energy (0 for the lowest one) (meV per atom) = 0

---

A plane-wave DFT calculation with PBE-GGA was carried out for a relaxed structure of ErPuTlSn.

Cell lengths 7.563, 7.563, 7.563 Å; angles 90.00, 90.00, 90.00 degrees
Space group F-43m (No. 216)
One atom of each set of equivalent atoms:
Er (0.000, 0.000, 0.000) x4
Pu (0.000, 0.000, 0.500) x4
Tl (0.250, 0.250, 0.750) x4
Sn (0.250, 0.250, 0.250) x4

Summary:
- calculated volume (Å³ per atom) = 27.04
- total magnetization (μB per formula unit) = 6.194
- E_tot (eV/f.u.) = -26.413
- DOS(E_F) (states/eV per atom) = 2.67

---

A plane-wave DFT calculation with PBE-GGA was carried out for a relaxed structure of HoB2RuRh.

Cell lengths 3.904, 3.904, 9.294 Å; angles 90.00, 90.00, 90.00 degrees
Space group I-4m2 (No. 119)
One atom of each set of equivalent atoms:
Ho (0.000, 0.000, 0.000) x2
B (0.000, 0.000, 0.342) x4
Ru (0.000, 0.500, 0.750) x2
Rh (0.000, 0.500, 0.250) x2

Summary:
- calculated volume (Å³ per atom) = 14.17
- total magnetization (μB per formula unit) = 0.000
- E_tot (eV/f.u.) = -37.574
- DOS(E_F) (states/eV per atom) = 0.17